Record 1
Material: LiCaRh2
Method: DFT, PBE
State: relaxed

a = 5.5866 Å, b = 8.9870 Å, c = 2.8843 Å
α = 90.00°, β = 115.75°, γ = 90.00°
Space group C2/m (No. 12)
Asymmetric unit:
1 Li 0.0000 0.0000 0.0000 (multiplicity 2)
2 Ca 0.0000 0.5000 0.0000 (multiplicity 2)
3 Rh 0.2500 0.2500 0.5000 (multiplicity 4)

Values from the calculation:
The value obtained for the energy of formation from the pure elements is -77 meV per atom. The value obtained for the spin magnetization is 0.00 μB/f.u.



Record 2
Material: CuP2IrCl
Method: DFT, PBE
State: relaxed

a = 4.5095 Å, b = 4.5095 Å, c = 5.2645 Å
α = 90.00°, β = 90.00°, γ = 90.00°
Space group P4/mmm (No. 123)
Asymmetric unit:
1 Cu 0.0000 0.0000 0.0000 (multiplicity 1)
2 P 0.0000 0.5000 0.5000 (multiplicity 2)
3 Ir 0.5000 0.5000 0.5000 (multiplicity 1)
4 Cl 0.5000 0.5000 0.0000 (multiplicity 1)

Values from the calculation:
Its formation energy from raw total energies is 705.3 meV per atom. The value obtained for the spin magnetization is 0.00 μB/f.u.



Record 3
Material: Ac2ZnInS6
Method: DFT, PBE
State: relaxed

a = 6.6041 Å, b = 7.6065 Å, c = 11.5871 Å
α = 90.00°, β = 124.36°, γ = 90.00°
Space group P2_1/c (No. 14)
Asymmetric unit:
1 Ac 0.2088 0.1099 0.2506 (multiplicity 4)
2 Zn 0.0000 0.0000 0.5000 (multiplicity 2)
3 In 0.5000 0.0000 0.0000 (multiplicity 2)
4 S 0.1296 0.1762 0.9499 (multiplicity 4)
5 S 0.2649 0.6748 0.9540 (multiplicity 4)
6 S 0.3507 0.0157 0.7397 (multiplicity 4)

Values from the calculation:
Its formation energy from raw total energies is -1258.1 meV per atom. The value obtained for the spin magnetization is 0.00 μB/f.u.



The records above yield electronic total energy values of -4.73 -4.42 -4.96 eV/atom, respectively.